VASP calculation (PBE) on a relaxed structure of Ho2ErThBi5.

Cell and atoms, written as POSCAR:
```
Ho2ErThBi5
1.0
5.726 0.000 0.000
0.000 5.726 0.000
0.000 0.000 11.881
Ho Er Th Bi
2 1 1 5
Cartesian
0.000 0.000 2.755
0.000 0.000 9.126
2.863 2.863 5.940
2.863 2.863 0.000
0.000 0.000 5.940
0.000 2.863 0.000
2.863 0.000 0.000
2.863 2.863 3.079
2.863 2.863 8.802
```

Summary:
Energy relative to the elements (eV/atom): 0.256
Size of the total moment (μB per formula unit): 0.000
DFT total energy (eV per atom): -4.2491



VASP calculation (PBE) on a relaxed structure of LiHf4Sn3.

Cell and atoms, written as POSCAR:
```
LiHf4Sn3
1.0
-5.579 5.579 2.753
5.579 -5.579 2.753
5.579 5.579 -2.753
Li Hf Sn
2 8 6
Cartesian
5.579 0.000 1.376
0.000 5.579 1.376
8.713 0.912 0.000
0.912 2.445 0.000
6.491 3.134 0.000
3.134 4.666 0.000
2.445 0.912 2.753
-0.912 2.445 2.753
4.666 3.134 2.753
-3.134 4.666 2.753
3.839 1.739 0.000
0.000 0.000 1.376
3.839 -1.739 2.753
1.739 7.318 0.000
0.000 0.000 4.129
1.739 3.839 2.753
```

Summary:
Energy relative to the elements (eV/atom): -0.302
Size of the total moment (μB per formula unit): 0.001
DFT total energy (eV per atom): -7.0187



What is the formula in the first record? Ho2ErThBi5



Please write out number 2 again, unchanged.
VASP calculation (PBE) on a relaxed structure of LiHf4Sn3.

Cell and atoms, written as POSCAR:
```
LiHf4Sn3
1.0
-5.579 5.579 2.753
5.579 -5.579 2.753
5.579 5.579 -2.753
Li Hf Sn
2 8 6
Cartesian
5.579 0.000 1.376
0.000 5.579 1.376
8.713 0.912 0.000
0.912 2.445 0.000
6.491 3.134 0.000
3.134 4.666 0.000
2.445 0.912 2.753
-0.912 2.445 2.753
4.666 3.134 2.753
-3.134 4.666 2.753
3.839 1.739 0.000
0.000 0.000 1.376
3.839 -1.739 2.753
1.739 7.318 0.000
0.000 0.000 4.129
1.739 3.839 2.753
```

Summary:
Energy relative to the elements (eV/atom): -0.302
Size of the total moment (μB per formula unit): 0.001
DFT total energy (eV per atom): -7.0187